Below is a relaxed structure of BaBi3Se, with properties calculated at the PBE-GGA level.

Total DFT energy (no corrections), eV per cell: -17.79
Calculated density, g/cm³: 7.5
Spin magnetization, μB per atom: 0.0000
Energy above the lowest structure with this stoichiometry, kcal/mol of atoms: 0.000

abc: 5.7208 5.7208 5.7208
angles: 90.00 90.00 90.00
Space group Pm-3m (No. 221)
One atom of each set of equivalent atoms:
Ba (0.0000, 0.0000, 0.0000) (multiplicity 1)
Bi (0.0000, 0.5000, 0.5000) (multiplicity 3)
Se (0.5000, 0.5000, 0.5000) (multiplicity 1)



Below is a relaxed structure of Ba2Bi2Se, with properties calculated at the PBE-GGA level.

Total DFT energy (no corrections), eV per cell: -39.09
Calculated density, g/cm³: 6.1
Spin magnetization, μB per atom: 0.0000
Energy above the lowest structure with this stoichiometry, kcal/mol of atoms: 0.000

abc: 8.7709 8.7709 5.5012
angles: 90.00 90.00 90.00
Space group P4/mbm (No. 127)
One atom of each set of equivalent atoms:
Ba (0.1799, 0.3201, 0.0000) (multiplicity 4)
Bi (0.1167, 0.6167, 0.5000) (multiplicity 4)
Se (0.0000, 0.0000, 0.0000) (multiplicity 2)



Below is a relaxed structure of BaBiSe2, with properties calculated at the PBE-GGA level.

Total DFT energy (no corrections), eV per cell: -46.93
Calculated density, g/cm³: 4.8
Spin magnetization, μB per atom: 0.0000

abc: 4.7041 4.7041 27.3036
angles: 90.00 90.00 120.00
Space group R-3m (No. 166, hexagonal axes)
One atom of each set of equivalent atoms:
Ba (0.0000, 0.0000, 0.0000) (multiplicity 3)
Bi (0.0000, 0.0000, 0.5000) (multiplicity 3)
Se (0.0000, 0.0000, 0.3995) (multiplicity 6)



Below is a relaxed structure of BaBiSe2, with properties calculated at the PBE-GGA level.

Total DFT energy (no corrections), eV per cell: -64.93
Calculated density, g/cm³: 4.9
Spin magnetization, μB per atom: 0.0000

abc: 6.4539 6.4539 16.3492
angles: 90.00 90.00 90.00
Space group I-42d (No. 122)
One atom of each set of equivalent atoms:
Ba (0.0000, 0.0000, 0.0000) (multiplicity 4)
Bi (0.0000, 0.0000, 0.5000) (multiplicity 4)
Se (0.2072, 0.2500, 0.6250) (multiplicity 8)



Below is a relaxed structure of BaBiSe3, with properties calculated at the PBE-GGA level.

Total DFT energy (no corrections), eV per cell: -84.60
Calculated density, g/cm³: 5.4
Spin magnetization, μB per atom: 0.0000

abc: 16.0226 5.8417 8.1980
angles: 90.00 110.63 90.00
Space group C2/m (No. 12)
One atom of each set of equivalent atoms:
Ba (0.1230, 0.0000, 0.3247) (multiplicity 4)
Bi (0.1570, 0.5000, 0.8819) (multiplicity 4)
Se (0.0372, 0.5000, 0.1595) (multiplicity 4)
Se (0.1492, 0.0000, 0.9393) (multiplicity 4)
Se (0.1599, 0.5000, 0.5541) (multiplicity 4)



Below is a relaxed structure of Ba7BiSe5, with properties calculated at the PBE-GGA level.

Total DFT energy (no corrections), eV per cell: -229.54
Calculated density, g/cm³: 5.0
Spin magnetization, μB per atom: 0.0589

abc: 4.7962 15.5394 28.0235
angles: 90.00 90.00 90.00
Space group Cmcm (No. 63)
One atom of each set of equivalent atoms:
Ba (0.0000, 0.0380, 0.2500) (multiplicity 4)
Ba (0.0000, 0.1361, 0.5350) (multiplicity 8)
Ba (0.0000, 0.3198, 0.1755) (multiplicity 8)
Ba (0.0000, 0.4098, 0.6072) (multiplicity 8)
Bi (0.0000, 0.2949, 0.7500) (multiplicity 4)
Se (0.0000, 0.0431, 0.6418) (multiplicity 8)
Se (0.0000, 0.2271, 0.0724) (multiplicity 8)
Se (0.0000, 0.5000, 0.0000) (multiplicity 4)



Below is a relaxed structure of BaBi2Se, with properties calculated at the PBE-GGA level.

Total DFT energy (no corrections), eV per cell: -59.73
Calculated density, g/cm³: 7.1
Spin magnetization, μB per atom: 0.0000

abc: 9.7359 9.7359 6.2999
angles: 90.00 90.00 90.00
Space group I-42d (No. 122)
One atom of each set of equivalent atoms:
Ba (0.0000, 0.0000, 0.0000) (multiplicity 4)
Bi (0.1856, 0.7500, 0.6250) (multiplicity 8)
Se (0.0000, 0.0000, 0.5000) (multiplicity 4)



Below is a relaxed structure of Ba2Bi2Se, with properties calculated at the PBE-GGA level.

Total DFT energy (no corrections), eV per cell: -36.61
Calculated density, g/cm³: 6.0
Spin magnetization, μB per atom: 0.0000
Energy above the lowest structure with this stoichiometry, kcal/mol of atoms: 5.715

abc: 6.8314 6.8314 9.1665
angles: 90.00 90.00 90.00
Space group I4/mmm (No. 139)
One atom of each set of equivalent atoms:
Ba (0.0000, 0.5000, 0.2500) (multiplicity 4)
Bi (0.0000, 0.0000, 0.1693) (multiplicity 4)
Se (0.0000, 0.0000, 0.5000) (multiplicity 2)



Below is a relaxed structure of BaBiSe3, with properties calculated at the PBE-GGA level.

Total DFT energy (no corrections), eV per cell: -19.95
Calculated density, g/cm³: 5.7
Spin magnetization, μB per atom: 0.0000

abc: 5.5418 5.5418 5.5418
angles: 90.00 90.00 90.00
Space group Pm-3m (No. 221)
One atom of each set of equivalent atoms:
Ba (0.0000, 0.0000, 0.0000) (multiplicity 1)
Bi (0.5000, 0.5000, 0.5000) (multiplicity 1)
Se (0.0000, 0.5000, 0.5000) (multiplicity 3)



Below is a relaxed structure of BaBiSe3, with properties calculated at the PBE-GGA level.

Total DFT energy (no corrections), eV per cell: -14.54
Calculated density, g/cm³: 4.5
Spin magnetization, μB per atom: 0.2000

abc: 6.0109 6.0109 6.0109
angles: 90.00 90.00 90.00
Space group Pm-3m (No. 221)
One atom of each set of equivalent atoms:
Ba (0.0000, 0.0000, 0.0000) (multiplicity 1)
Bi (0.5000, 0.5000, 0.5000) (multiplicity 1)
Se (0.0000, 0.0000, 0.5000) (multiplicity 3)



Below is a relaxed structure of Ba5BiSe8, with properties calculated at the PBE-GGA level.

Total DFT energy (no corrections), eV per cell: -121.48
Calculated density, g/cm³: 5.6
Spin magnetization, μB per atom: 0.0749

abc: 9.7223 9.7223 9.6543
angles: 90.00 90.00 90.00
Space group I-4 (No. 82)
One atom of each set of equivalent atoms:
Ba (0.0000, 0.0000, 0.0000) (multiplicity 2)
Ba (0.1258, 0.7701, 0.3702) (multiplicity 8)
Bi (0.0000, 0.5000, 0.7500) (multiplicity 2)
Se (0.0551, 0.6263, 0.0415) (multiplicity 8)
Se (0.0840, 0.8099, 0.7151) (multiplicity 8)



Below is a relaxed structure of BaBiSe2, with properties calculated at the PBE-GGA level.

Total DFT energy (no corrections), eV per cell: -67.66
Calculated density, g/cm³: 5.9
Spin magnetization, μB per atom: 0.0000

abc: 8.0001 4.7977 14.7684
angles: 90.00 90.00 90.00
Space group Pnma (No. 62)
One atom of each set of equivalent atoms:
Ba (0.1147, 0.2500, 0.1518) (multiplicity 4)
Bi (0.1553, 0.7500, 0.4127) (multiplicity 4)
Se (0.1405, 0.2500, 0.7618) (multiplicity 4)
Se (0.2197, 0.7500, 0.9874) (multiplicity 4)